1.
{
  "formula": "CaSiTe2",
  "functional": "GGA-PBEsol",
  "state": "relaxed",
  "cell": [[5.2772, 0.0000, 0.0000], [2.6386, 4.5702, 0.0000], [2.6386, 1.5234, 4.3088]],
  "species": ["Ca", "Si", "Te", "Te"],
  "fractional_positions": [[0.5000, 0.5000, 0.5000], [0.2500, 0.2500, 0.2500], [0.0000, 0.0000, 0.0000], [0.7500, 0.7500, 0.7500]],
  "de_polymorph_mev_per_atom": 340,
  "total_magnetization_mub_per_cell": 0.0,
  "formation_energy_uncorrected_kcal_per_mol_atoms": -0.62
}

=====

2.
{
  "formula": "CaTlSi",
  "functional": "GGA-PBEsol",
  "state": "relaxed",
  "cell": [[4.8176, 0.0000, 0.0000], [2.4088, 4.1722, 0.0000], [2.4088, 1.3907, 3.9336]],
  "species": ["Ca", "Si", "Tl"],
  "fractional_positions": [[0.0000, 0.0000, 0.0000], [0.5000, 0.5000, 0.5000], [0.2500, 0.2500, 0.2500]],
  "de_polymorph_mev_per_atom": 137,
  "total_magnetization_mub_per_cell": 0.0,
  "formation_energy_uncorrected_kcal_per_mol_atoms": 1.05
}

=====

3.
{
  "formula": "CaTlSi4",
  "functional": "GGA-PBEsol",
  "state": "relaxed",
  "cell": [[-4.2744, -1.4061, 2.9207], [-4.1298, -2.5120, -2.3266], [-0.9370, -5.1737, 1.0646]],
  "species": ["Ca", "Si", "Si", "Si", "Si", "Tl"],
  "fractional_positions": [[0.0000, 0.0000, 0.0000], [0.3739, 0.3739, 0.3739], [0.3739, 0.3739, 0.8783], [0.8783, 0.3739, 0.3739], [0.3739, 0.8783, 0.3739], [0.7500, 0.7500, 0.7500]],
  "total_magnetization_mub_per_cell": 0.0,
  "formation_energy_uncorrected_kcal_per_mol_atoms": -0.24
}

=====

4.
{
  "formula": "CaTlSi",
  "functional": "GGA-PBEsol",
  "state": "relaxed",
  "cell": [[3.6703, 0.0000, 0.0000], [0.0000, 3.6726, 0.0000], [-1.8351, -1.8363, 5.3079]],
  "species": ["Ca", "Si", "Tl"],
  "fractional_positions": [[0.0056, 0.0056, 0.0113], [0.6848, 0.6848, 0.3695], [0.3096, 0.3096, 0.6192]],
  "de_polymorph_mev_per_atom": 0,
  "total_magnetization_mub_per_cell": 0.0,
  "formation_energy_uncorrected_kcal_per_mol_atoms": -2.12
}